1:
A relaxed Na2UBr5 crystal, computed with PBE.

Summary:
Spin magnetization = 0.38 μB per atom

a = 15.6635 Å, b = 8.1305 Å, c = 8.1058 Å
α = 90.00°, β = 120.40°, γ = 90.00°
With the nearest neighbours (Å) after each atom.
Space group Cm (No. 8)
Unique sites:
Na: 0.0000 0.0000 0.0000 [2 per cell]  4 Br 2.91-2.93
Na: 0.0000 0.5000 0.4979 [2 per cell]  4 Br 2.91-2.93
U: 0.3978 0.0000 0.8959 [2 per cell]  5 Br 2.72-2.89
Br: 0.1963 0.0000 0.6934 [2 per cell]  1 U 2.72
Br: 0.4595 0.2422 0.7177 [4 per cell]  1 U 2.88, 2 Na 2.93
Br: 0.4615 0.2387 0.1997 [4 per cell]  1 U 2.89, 2 Na 2.91

=====

2:
A relaxed Na2UBr5 crystal, computed with PBE.

Summary:
Spin magnetization = 0.37 μB per atom

a = 12.9326 Å, b = 8.8930 Å, c = 8.4394 Å
α = 90.00°, β = 90.00°, γ = 90.00°
With the nearest neighbours (Å) after each atom.
Space group Pnma (No. 62)
Unique sites:
Na: 0.1762 0.0112 0.0197 [8 per cell]  7 Br 3.10-3.39
U: 0.0019 0.7500 0.5799 [4 per cell]  7 Br 2.95-3.05
Br: 0.0007 0.2500 0.0590 [4 per cell]  1 U 3.05, 4 Na 3.13-3.33
Br: 0.0906 0.0447 0.6645 [8 per cell]  2 U 2.95-3.00, 2 Na 3.21-3.29
Br: 0.1818 0.7500 0.3632 [4 per cell]  1 U 2.96, 2 Na 3.10
Br: 0.2182 0.2500 0.3257 [4 per cell]  1 U 2.96, 2 Na 3.15

=====

Which of them is the most stable? Correct choice: 2.

=====

1:
A relaxed Na2UBr6 crystal, computed with PBE.

Summary:
Spin magnetization = 0.22 μB per atom

a = 6.9820 Å, b = 6.9820 Å, c = 13.0575 Å
α = 90.00°, β = 90.00°, γ = 90.00°
With the nearest neighbours (Å) after each atom.
Space group P4_2/mnm (No. 136)
Unique sites:
Na: 0.0000 0.0000 0.1651 [4 per cell]  6 Br 3.02-3.03
U: 0.0000 0.0000 0.5000 [2 per cell]  6 Br 2.79-2.81
Br: 0.1932 0.1932 0.3442 [8 per cell]  1 U 2.79, 2 Na 3.02-3.03
Br: 0.2153 0.2153 0.0000 [4 per cell]  1 U 2.81, 2 Na 3.03

=====

2:
A relaxed Na2UBr6 crystal, computed with PBE.

Summary:
Spin magnetization = 0.22 μB per atom

a = 12.6905 Å, b = 12.6905 Å, c = 6.6781 Å
α = 90.00°, β = 90.00°, γ = 120.00°
With the nearest neighbours (Å) after each atom.
Space group P-3m1 (No. 164)
Unique sites:
Na: 0.0000 0.3382 0.0000 [6 per cell]  6 Br 3.00-3.07
U: 0.0000 0.0000 0.0000 [1 per cell]  6 Br 2.79
U: 0.3333 0.6667 0.4975 [2 per cell]  6 Br 2.80-2.81
Br: 0.1050 0.2100 0.2354 [6 per cell]  1 U 2.79, 2 Na 3.01
Br: 0.1245 0.5623 0.2559 [6 per cell]  1 U 2.81, 2 Na 3.00
Br: 0.2286 0.4572 0.7350 [6 per cell]  1 U 2.80, 2 Na 3.07

=====

Which of them is the most stable? Correct choice: 1.

=====

1:
A relaxed NaVBr2 crystal, computed with PBE.

Summary:
Spin magnetization = 1.00 μB per atom

a = 7.1586 Å, b = 7.1586 Å, c = 7.1586 Å
α = 90.00°, β = 90.00°, γ = 90.00°
With the nearest neighbours (Å) after each atom.
Space group Fm-3m (No. 225)
Unique sites:
Na: 0.0000 0.0000 0.0000 [4 per cell]  8 Br 3.10
V: 0.0000 0.0000 0.5000 [4 per cell]  8 Br 3.10
Br: 0.2500 0.2500 0.2500 [8 per cell]  4 V 3.10, 4 Na 3.10

=====

2:
A relaxed NaVBr2 crystal, computed with PBE.

Summary:
Spin magnetization = 0.75 μB per atom

a = 3.8477 Å, b = 3.8477 Å, c = 29.6768 Å
α = 90.00°, β = 90.00°, γ = 120.00°
With the nearest neighbours (Å) after each atom.
Space group R-3m (No. 166, hexagonal axes)
Unique sites:
Na: 0.0000 0.0000 0.0000 [3 per cell]  2 Br 3.49, 6 Na 3.85
V: 0.0000 0.0000 0.5000 [3 per cell]  6 Br 2.66
Br: 0.0000 0.0000 0.1176 [6 per cell]  3 V 2.66

=====

3:
A relaxed NaVBr2 crystal, computed with PBE.

Summary:
Spin magnetization = 0.99 μB per atom

a = 6.2431 Å, b = 6.2431 Å, c = 13.0367 Å
α = 90.00°, β = 90.00°, γ = 90.00°
With the nearest neighbours (Å) after each atom.
Space group I-42d (No. 122)
Unique sites:
Na: 0.0000 0.0000 0.0000 [4 per cell]  4 Br 2.87
V: 0.0000 0.0000 0.5000 [4 per cell]  4 Br 2.63
Br: 0.2149 0.2500 0.6250 [8 per cell]  2 V 2.63, 2 Na 2.87

=====

Which of them is the most stable? Correct choice: 2.

=====

1:
A relaxed NaV3Br crystal, computed with PBE.

Summary:
Spin magnetization = 2.47 μB per atom

a = 5.1634 Å, b = 5.1634 Å, c = 5.1634 Å
α = 90.00°, β = 90.00°, γ = 90.00°
With the nearest neighbours (Å) after each atom.
Space group Pm-3m (No. 221)
Unique sites:
Na: 0.0000 0.0000 0.0000 [1 per cell]  6 V 2.58
V: 0.0000 0.0000 0.5000 [3 per cell]  2 Na 2.58
Br: 0.5000 0.5000 0.5000 [1 per cell]  12 V 3.65

=====

2:
A relaxed NaV3Br crystal, computed with PBE.

Summary:
Spin magnetization = 0.88 μB per atom

a = 4.6394 Å, b = 4.6394 Å, c = 4.6394 Å
α = 90.00°, β = 90.00°, γ = 90.00°
With the nearest neighbours (Å) after each atom.
Space group Pm-3m (No. 221)
Unique sites:
Na: 0.0000 0.0000 0.0000 [1 per cell]  12 V 3.28
V: 0.0000 0.5000 0.5000 [3 per cell]  2 Br 2.32
Br: 0.5000 0.5000 0.5000 [1 per cell]  6 V 2.32

=====

Which of them is the most stable? Correct choice: 2.

=====

1:
A relaxed NaWBr2 crystal, computed with PBE.

Summary:
Spin magnetization = 0.00 μB per atom

a = 3.3295 Å, b = 3.3295 Å, c = 27.1303 Å
α = 90.00°, β = 90.00°, γ = 120.00°
With the nearest neighbours (Å) after each atom.
Space group R-3m (No. 166, hexagonal axes)
Unique sites:
Na: 0.0000 0.0000 0.0000 [3 per cell]  6 Br 2.80
W: 0.0000 0.0000 0.5000 [3 per cell]  2 Br 2.48
Br: 0.0000 0.0000 0.4085 [6 per cell]  1 W 2.48

=====

2:
A relaxed NaWBr2 crystal, computed with PBE.

Summary:
Spin magnetization = 0.00 μB per atom

a = 3.3299 Å, b = 3.3299 Å, c = 32.7029 Å
α = 90.00°, β = 90.00°, γ = 120.00°
With the nearest neighbours (Å) after each atom.
Space group R-3m (No. 166, hexagonal axes)
Unique sites:
Na: 0.0000 0.0000 0.0000 [3 per cell]  6 Na 3.33, 2 Br 3.63
W: 0.0000 0.0000 0.5000 [3 per cell]  6 Br 2.65
Br: 0.0000 0.0000 0.1109 [6 per cell]  3 W 2.65

=====

Which of them is the most stable? Correct choice: 1.

=====

1:
A relaxed NaW2Br crystal, computed with PBE.

Summary:
Spin magnetization = 0.00 μB per atom

a = 3.6963 Å, b = 3.6963 Å, c = 24.7990 Å
α = 90.00°, β = 90.00°, γ = 90.00°
With the nearest neighbours (Å) after each atom.
Space group I-42d (No. 122)
Unique sites:
Na: 0.0000 0.0000 0.0000 [4 per cell]  4 Br 2.61
W: 0.2350 0.7500 0.1250 [8 per cell]  4 W 2.54-2.69
Br: 0.0000 0.0000 0.5000 [4 per cell]  4 Na 2.61

=====

2:
A relaxed NaW2Br crystal, computed with PBE.

Summary:
Spin magnetization = 0.31 μB per atom

a = 6.5174 Å, b = 6.5174 Å, c = 6.5174 Å
α = 90.00°, β = 90.00°, γ = 90.00°
With the nearest neighbours (Å) after each atom.
Space group Fm-3m (No. 225)
Unique sites:
Na: 0.0000 0.0000 0.0000 [4 per cell]  8 W 2.82
W: 0.2500 0.2500 0.2500 [8 per cell]  4 Na 2.82, 4 Br 2.82
Br: 0.0000 0.0000 0.5000 [4 per cell]  8 W 2.82

=====

Which of them is the most stable? Correct choice: 1.

=====

1:
A relaxed NaW3Br crystal, computed with PBE.

Summary:
Spin magnetization = 0.21 μB per atom

a = 4.6692 Å, b = 4.6692 Å, c = 4.6692 Å
α = 90.00°, β = 90.00°, γ = 90.00°
With the nearest neighbours (Å) after each atom.
Space group Pm-3m (No. 221)
Unique sites:
Na: 0.0000 0.0000 0.0000 [1 per cell]  6 W 2.33
W: 0.0000 0.0000 0.5000 [3 per cell]  2 Na 2.33
Br: 0.5000 0.5000 0.5000 [1 per cell]  12 W 3.30

=====

2:
A relaxed NaW3Br crystal, computed with PBE.

Summary:
Spin magnetization = 0.00 μB per atom

a = 4.6717 Å, b = 4.6717 Å, c = 4.6717 Å
α = 90.00°, β = 90.00°, γ = 90.00°
With the nearest neighbours (Å) after each atom.
Space group Pm-3m (No. 221)
Unique sites:
Na: 0.0000 0.0000 0.0000 [1 per cell]  12 W 3.30
W: 0.0000 0.5000 0.5000 [3 per cell]  2 Br 2.34
Br: 0.5000 0.5000 0.5000 [1 per cell]  6 W 2.34

=====

Which of them is the most stable? Correct choice: 2.

=====

1:
A relaxed Na3WBr crystal, computed with PBE.

Summary:
Spin magnetization = 1.20 μB per atom

a = 6.0554 Å, b = 6.0554 Å, c = 6.0554 Å
α = 90.00°, β = 90.00°, γ = 90.00°
With the nearest neighbours (Å) after each atom.
Space group Pm-3m (No. 221)
Unique sites:
Na: 0.0000 0.0000 0.5000 [3 per cell]  2 W 3.03
W: 0.0000 0.0000 0.0000 [1 per cell]  6 Na 3.03
Br: 0.5000 0.5000 0.5000 [1 per cell]  12 Na 4.28

=====

2:
A relaxed Na3WBr crystal, computed with PBE.

Summary:
Spin magnetization = 1.14 μB per atom

a = 5.5415 Å, b = 5.5415 Å, c = 5.5415 Å
α = 90.00°, β = 90.00°, γ = 90.00°
With the nearest neighbours (Å) after each atom.
Space group Pm-3m (No. 221)
Unique sites:
Na: 0.0000 0.0000 0.5000 [3 per cell]  2 Br 2.77
W: 0.5000 0.5000 0.5000 [1 per cell]  12 Na 3.92
Br: 0.0000 0.0000 0.0000 [1 per cell]  6 Na 2.77

=====

Which of them is the most stable? Correct choice: 2.

=====

1:
A relaxed Na2Y2Br7 crystal, computed with PBE.

Summary:
Spin magnetization = 0.08 μB per atom

a = 12.3125 Å, b = 8.7783 Å, c = 7.0744 Å
α = 90.00°, β = 93.42°, γ = 90.00°
With the nearest neighbours (Å) after each atom.
Space group C2/m (No. 12)
Unique sites:
Na: 0.0000 0.2311 0.0000 [4 per cell]  4 Br 2.91-3.00
Y: 0.2318 0.5000 0.4382 [4 per cell]  6 Br 2.75-2.91
Br: 0.0000 0.5000 0.5000 [2 per cell]  2 Y 2.91
Br: 0.0777 0.0000 0.7460 [4 per cell]  1 Y 2.75, 2 Na 2.91
Br: 0.2017 0.2090 0.2571 [8 per cell]  2 Y 2.87-2.91, 1 Na 3.00

=====

2:
A relaxed Na2Y2Br7 crystal, computed with PBE.

Summary:
Spin magnetization = 0.09 μB per atom

a = 8.6434 Å, b = 13.0354 Å, c = 7.6391 Å
α = 90.00°, β = 96.74°, γ = 90.00°
With the nearest neighbours (Å) after each atom.
Space group C2/m (No. 12)
Unique sites:
Na: 0.0000 0.2030 0.0000 [4 per cell]  6 Br 2.96-3.27
Y: 0.1979 0.0000 0.6051 [4 per cell]  5 Br 2.75-2.91
Br: 0.0000 0.5000 0.5000 [2 per cell]  2 Y 2.82
Br: 0.0938 0.0000 0.2402 [4 per cell]  2 Y 2.83-2.91
Br: 0.2500 0.1866 0.7685 [8 per cell]  1 Y 2.75, 2 Na 2.96-2.99

=====

Which of them is the most stable? Correct choice: 2.

=====

1:
A relaxed NaYBr2 crystal, computed with PBE.

Summary:
Spin magnetization = 0.46 μB per atom

a = 6.9959 Å, b = 6.9959 Å, c = 11.6868 Å
α = 90.00°, β = 90.00°, γ = 90.00°
With the nearest neighbours (Å) after each atom.
Space group I-42d (No. 122)
Unique sites:
Na: 0.0000 0.0000 0.0000 [4 per cell]  4 Br 2.83
Y: 0.0000 0.0000 0.5000 [4 per cell]  4 Br 2.91
Br: 0.2408 0.2500 0.1250 [8 per cell]  2 Na 2.83, 2 Y 2.91

=====

2:
A relaxed NaYBr2 crystal, computed with PBE.

Summary:
Spin magnetization = 0.47 μB per atom

a = 7.4013 Å, b = 7.4013 Å, c = 7.4013 Å
α = 90.00°, β = 90.00°, γ = 90.00°
With the nearest neighbours (Å) after each atom.
Space group Fm-3m (No. 225)
Unique sites:
Na: 0.0000 0.0000 0.0000 [4 per cell]  8 Br 3.20
Y: 0.0000 0.0000 0.5000 [4 per cell]  8 Br 3.20
Br: 0.2500 0.2500 0.2500 [8 per cell]  4 Na 3.20, 4 Y 3.20

=====

Which of them is the most stable? Correct choice: 1.

=====

1:
A relaxed NaYBr3 crystal, computed with PBE.

Summary:
Spin magnetization = 0.00 μB per atom

a = 5.6338 Å, b = 5.6338 Å, c = 5.6338 Å
α = 90.00°, β = 90.00°, γ = 90.00°
With the nearest neighbours (Å) after each atom.
Space group Pm-3m (No. 221)
Unique sites:
Na: 0.0000 0.0000 0.0000 [1 per cell]  12 Br 3.98
Y: 0.5000 0.5000 0.5000 [1 per cell]  6 Br 2.82
Br: 0.0000 0.5000 0.5000 [3 per cell]  2 Y 2.82

=====

2:
A relaxed NaYBr3 crystal, computed with PBE.

Summary:
Spin magnetization = 0.00 μB per atom

a = 7.8594 Å, b = 7.8594 Å, c = 6.6946 Å
α = 90.00°, β = 90.00°, γ = 120.00°
With the nearest neighbours (Å) after each atom.
Space group P6_3/mmc (No. 194)
Unique sites:
Na: 0.3333 0.6667 0.2500 [2 per cell]  12 Br 3.93-4.01
Y: 0.0000 0.0000 0.0000 [2 per cell]  6 Br 2.87
Br: 0.1713 0.3427 0.7500 [6 per cell]  2 Y 2.87

=====

Which of them is the most stable? Correct choice: 2.